--- one ---
Here is crystalline SmDy6Tm12 at its relaxed geometry from the Alexandria database. Energies are from PBE-GGA. Values from VASP.

Values from the calculation:
magnetization	0.003	μB per cell
calculated density	8.72	g/cm3
N(E_F)	29.7	states/eV per cell

The structure in Quantum ESPRESSO input format:
```
&SYSTEM
  ibrav = 0, nat = 19, ntyp = 3
/
ATOMIC_SPECIES
Dy 162.50 Dy.upf
Tm 168.93 Tm.upf
Sm 150.36 Sm.upf
ATOMIC_POSITIONS angstrom
Dy -0.9509 -4.4496 9.4993
Dy 2.3551 -1.2742 5.6817
Dy -5.5924 -0.3136 8.9200
Dy -3.3901 -3.2166 4.1967
Dy -2.2864 2.8618 5.1023
Dy 0.1527 1.6288 10.4050
Tm -0.6209 -1.4458 12.2201
Tm -3.2835 -0.3579 5.6677
Tm -3.5140 0.5548 11.7962
Tm -0.5924 -2.5144 6.0298
Tm 0.2766 -2.1426 2.8055
Tm -3.0794 -2.4817 8.1049
Tm -0.1579 0.8939 6.4968
Tm 0.0462 -1.2299 8.9340
Tm -2.6164 -0.1420 2.3816
Tm -3.7108 -2.9569 11.3707
Tm 0.4734 1.3691 3.2310
Tm -2.6449 0.9266 8.5719
Sm 0.0000 0.0000 0.0000
CELL_PARAMETERS angstrom
-6.5811 -4.1631 3.2522
4.8747 -3.6394 5.8491
-1.5309 6.2146 5.5004
```

---

--- two ---
Here is crystalline SmDy6Tm12 at its relaxed geometry from the Alexandria database. Energies are from PBE-GGA. Values from VASP.

Values from the calculation:
magnetization	0.000	μB per cell
calculated density	8.14	g/cm3
N(E_F)	30.5	states/eV per cell

The structure in Quantum ESPRESSO input format:
```
&SYSTEM
  ibrav = 0, nat = 19, ntyp = 3
/
ATOMIC_SPECIES
Dy 162.50 Dy.upf
Tm 168.93 Tm.upf
Sm 150.36 Sm.upf
ATOMIC_POSITIONS angstrom
Dy -2.3610 -3.5913 -5.0523
Dy -4.9966 1.5848 -4.0645
Dy 0.3813 1.4282 -6.4663
Dy 0.7982 -1.9328 -5.3137
Dy -1.8375 3.2433 -4.3258
Dy -4.5797 -1.7762 -2.9119
Tm -4.7573 -5.0395 -3.3185
Tm 0.5588 4.6914 -6.0596
Tm -4.6540 4.8432 -3.7315
Tm -1.1295 -2.0633 -2.3945
Tm -2.6584 0.9392 -1.8215
Tm 0.4555 -5.1912 -5.6466
Tm 0.4612 0.8484 -3.2147
Tm -1.5401 -1.2872 -7.5566
Tm 3.1136 -0.3258 -7.0171
Tm -3.0690 1.7153 -6.9836
Tm -7.3120 -0.0222 -2.3610
Tm -4.6597 -1.1964 -6.1634
Sm 0.0000 0.0000 0.0000
CELL_PARAMETERS angstrom
-1.3107 8.3765 -3.4809
5.2754 -4.5579 -5.9495
-8.1632 -4.1666 0.0523
```

---

Short version: two is the least stable of them.

---

--- one ---
Here is crystalline KTcRu2 at its relaxed geometry from the Alexandria database. Energies are from PBE-GGA. Values from VASP.

Values from the calculation:
magnetization	0.030	μB per cell
calculated density	8.65	g/cm3
N(E_F)	4.9	states/eV per cell

The structure in Quantum ESPRESSO input format:
```
&SYSTEM
  ibrav = 0, nat = 4, ntyp = 3
/
ATOMIC_SPECIES
K 39.10 K.upf
Tc 98.00 Tc.upf
Ru 101.07 Ru.upf
ATOMIC_POSITIONS angstrom
K 2.2578 -0.0056 1.5972
Tc 2.2640 2.2522 0.0000
Ru 0.0062 2.2578 1.5972
Ru 0.0000 0.0000 0.0000
CELL_PARAMETERS angstrom
4.5155 -0.0112 0.0000
0.0124 4.5155 0.0000
-2.2640 -2.2522 3.1944
```

---

--- two ---
Here is crystalline KTcRu2 at its relaxed geometry from the Alexandria database. Energies are from PBE-GGA. Values from VASP.

Values from the calculation:
magnetization	0.299	μB per cell
calculated density	7.72	g/cm3
N(E_F)	7.5	states/eV per cell

The structure in Quantum ESPRESSO input format:
```
&SYSTEM
  ibrav = 0, nat = 4, ntyp = 3
/
ATOMIC_SPECIES
Tc 98.00 Tc.upf
Ru 101.07 Ru.upf
K 39.10 K.upf
ATOMIC_POSITIONS angstrom
Tc 1.4015 1.4015 2.3204
Ru 0.0000 0.0000 0.5560
Ru 0.0000 0.0000 4.0847
K 1.4015 1.4015 6.9612
CELL_PARAMETERS angstrom
2.8030 0.0000 0.0000
0.0000 2.8030 0.0000
0.0000 0.0000 9.2815
```

---

Short version: one is the least stable of them.

---

--- one ---
Here is crystalline K2TlHg at its relaxed geometry from the Alexandria database. Energies are from PBE-GGA. Values from VASP.

Values from the calculation:
magnetization	0.000	μB per cell
calculated density	4.83	g/cm3
N(E_F)	1.9	states/eV per cell

The structure in Quantum ESPRESSO input format:
```
&SYSTEM
  ibrav = 0, nat = 4, ntyp = 3
/
ATOMIC_SPECIES
K 39.10 K.upf
Tl 204.38 Tl.upf
Hg 200.59 Hg.upf
ATOMIC_POSITIONS angstrom
K 7.6752 -3.7313 3.6594
K 2.4740 0.6200 3.0327
Tl 4.3674 -2.5717 2.4725
Hg 5.8045 -0.5364 4.2180
CELL_PARAMETERS angstrom
-0.2103 3.4003 3.9083
1.2177 -3.5099 3.1193
6.9949 -0.3379 0.6705
```

---

--- two ---
Here is crystalline K2TlHg at its relaxed geometry from the Alexandria database. Energies are from PBE-GGA. Values from VASP.

Values from the calculation:
magnetization	0.000	μB per cell
calculated density	5.69	g/cm3
N(E_F)	3.9	states/eV per cell

The structure in Quantum ESPRESSO input format:
```
&SYSTEM
  ibrav = 0, nat = 4, ntyp = 3
/
ATOMIC_SPECIES
K 39.10 K.upf
Hg 200.59 Hg.upf
Tl 204.38 Tl.upf
ATOMIC_POSITIONS angstrom
K 2.9211 1.6865 1.1925
K 0.0000 0.0000 0.0000
Hg 5.8421 3.3730 2.3850
Tl 8.7632 5.0594 3.5776
CELL_PARAMETERS angstrom
5.8421 0.0000 0.0000
2.9211 5.0594 0.0000
2.9211 1.6865 4.7701
```

---

Short version: two is the least stable of them.

---

--- one ---
Here is crystalline RbSi at its relaxed geometry from the Alexandria database. Energies are from PBE-GGA. Values from VASP.

Values from the calculation:
magnetization	0.000	μB per cell
calculated density	2.57	g/cm3
N(E_F)	1.7	states/eV per cell

The structure in Quantum ESPRESSO input format:
```
&SYSTEM
  ibrav = 0, nat = 4, ntyp = 2
/
ATOMIC_SPECIES
Rb 85.47 Rb.upf
Si 28.09 Si.upf
ATOMIC_POSITIONS angstrom
Rb 0.6980 1.9025 5.7394
Rb 1.5924 6.6926 4.0394
Si 1.7075 8.8619 6.7328
Si 0.5829 -0.2668 3.0460
CELL_PARAMETERS angstrom
-2.5172 -0.0263 3.1721
1.4088 -0.8780 3.6968
3.3988 9.4994 2.9099
```

---

--- two ---
Here is crystalline RbSi at its relaxed geometry from the Alexandria database. Energies are from PBE-GGA. Values from VASP.

Values from the calculation:
magnetization	0.000	μB per cell
calculated density	2.00	g/cm3

The structure in Quantum ESPRESSO input format:
```
&SYSTEM
  ibrav = 0, nat = 4, ntyp = 2
/
ATOMIC_SPECIES
Rb 85.47 Rb.upf
Si 28.09 Si.upf
ATOMIC_POSITIONS angstrom
Rb 4.2174 4.1669 4.3193
Rb 4.3576 1.1058 1.5408
Si 2.9047 4.5821 0.7526
Si 7.2322 3.5080 1.9871
CELL_PARAMETERS angstrom
5.7236 0.0000 0.0000
1.4975 5.7115 0.0000
2.7357 2.1483 5.7619
```

---

Short version: two is the least stable of them.

---

--- one ---
Here is crystalline KCd2Ag at its relaxed geometry from the Alexandria database. Energies are from PBE-GGA. Values from VASP.

Values from the calculation:
magnetization	0.000	μB per cell
calculated density	5.78	g/cm3
N(E_F)	1.2	states/eV per cell

The structure in Quantum ESPRESSO input format:
```
&SYSTEM
  ibrav = 0, nat = 4, ntyp = 3
/
ATOMIC_SPECIES
Ag 107.87 Ag.upf
Cd 112.41 Cd.upf
K 39.10 K.upf
ATOMIC_POSITIONS angstrom
Ag 1.6053 2.0519 6.0798
Cd 0.0000 0.0000 4.5582
Cd 0.0000 0.0000 7.6014
K 1.6053 2.0519 2.0266
CELL_PARAMETERS angstrom
3.2106 0.0000 0.0000
0.0000 4.1038 0.0000
0.0000 0.0000 8.1064
```

---

--- two ---
Here is crystalline KCd2Ag at its relaxed geometry from the Alexandria database. Energies are from PBE-GGA. Values from VASP.

Values from the calculation:
magnetization	0.000	μB per cell
calculated density	4.18	g/cm3
N(E_F)	4.8	states/eV per cell

The structure in Quantum ESPRESSO input format:
```
&SYSTEM
  ibrav = 0, nat = 8, ntyp = 3
/
ATOMIC_SPECIES
K 39.10 K.upf
Ag 107.87 Ag.upf
Cd 112.41 Cd.upf
ATOMIC_POSITIONS angstrom
K -2.4520 -2.6571 -1.4076
K -5.2516 -5.1309 2.7917
Ag 0.0000 0.0000 0.0000
Ag -7.4068 -2.3114 1.2234
Cd -6.1477 -3.8131 -0.7909
Cd -9.8846 -2.1476 2.5392
Cd -7.5801 -2.2106 4.0266
Cd -6.0146 -1.0742 -0.8812
CELL_PARAMETERS angstrom
-4.6071 0.1624 -2.9759
-0.2968 -5.4767 0.1607
-7.7544 -2.1280 6.8303
```

---

Short version: two is the least stable of them.

---

--- one ---
Here is crystalline TaHgCl2 at its relaxed geometry from the Alexandria database. Energies are from PBE-GGA. Values from VASP.

Values from the calculation:
magnetization	0.001	μB per cell
calculated density	9.36	g/cm3
N(E_F)	2.4	states/eV per cell

The structure in Quantum ESPRESSO input format:
```
&SYSTEM
  ibrav = 0, nat = 4, ntyp = 3
/
ATOMIC_SPECIES
Cl 35.45 Cl.upf
Hg 200.59 Hg.upf
Ta 180.95 Ta.upf
ATOMIC_POSITIONS angstrom
Cl 2.6435 0.4668 1.4373
Cl 0.0000 0.0000 0.0000
Hg -1.6600 2.9375 1.4506
Ta 1.3217 2.4644 -0.0060
CELL_PARAMETERS angstrom
5.6252 -0.0063 -0.0193
-2.9817 4.9350 0.0074
-0.3382 0.9400 2.8939
```

---

--- two ---
Here is crystalline TaHgCl2 at its relaxed geometry from the Alexandria database. Energies are from PBE-GGA. Values from VASP.

Values from the calculation:
magnetization	2.113	μB per cell
calculated density	8.87	g/cm3
N(E_F)	2.8	states/eV per cell

The structure in Quantum ESPRESSO input format:
```
&SYSTEM
  ibrav = 0, nat = 4, ntyp = 3
/
ATOMIC_SPECIES
Cl 35.45 Cl.upf
Ta 180.95 Ta.upf
Hg 200.59 Hg.upf
ATOMIC_POSITIONS angstrom
Cl 0.0000 0.0000 0.0000
Cl -0.1356 -3.1548 1.8279
Ta 2.3401 -1.5389 1.1591
Hg -0.6244 -0.3785 2.9418
CELL_PARAMETERS angstrom
-3.1001 -1.9945 3.6106
2.8288 -4.3152 0.0451
1.8513 1.2374 2.2730
```

---

Short version: two is the least stable of them.

---

--- one ---
Here is crystalline ScTaHg2 at its relaxed geometry from the Alexandria database. Energies are from PBE-GGA. Values from VASP.

Values from the calculation:
magnetization	0.212	μB per cell
calculated density	12.97	g/cm3
N(E_F)	2.4	states/eV per cell

The structure in Quantum ESPRESSO input format:
```
&SYSTEM
  ibrav = 0, nat = 4, ntyp = 3
/
ATOMIC_SPECIES
Sc 44.96 Sc.upf
Hg 200.59 Hg.upf
Ta 180.95 Ta.upf
ATOMIC_POSITIONS angstrom
Sc 1.7338 -1.4412 2.0307
Hg 1.1027 0.7861 4.0062
Hg 2.1951 1.5650 7.9754
Ta 2.8331 -0.6575 6.0246
CELL_PARAMETERS angstrom
-0.5583 -2.9458 0.7317
2.9266 -0.7202 -0.6642
2.1985 1.5674 7.9878
```

---

--- two ---
Here is crystalline ScTaHg2 at its relaxed geometry from the Alexandria database. Energies are from PBE-GGA. Values from VASP.

Values from the calculation:
magnetization	0.000	μB per cell
calculated density	12.44	g/cm3
N(E_F)	4.1	states/eV per cell

The structure in Quantum ESPRESSO input format:
```
&SYSTEM
  ibrav = 0, nat = 4, ntyp = 3
/
ATOMIC_SPECIES
Hg 200.59 Hg.upf
Ta 180.95 Ta.upf
Sc 44.96 Sc.upf
ATOMIC_POSITIONS angstrom
Hg -9.6561 8.4405 -7.0057
Hg -19.2984 16.8689 -14.0014
Ta -14.4773 12.6547 -10.5035
Sc -4.8258 4.2182 -3.5012
CELL_PARAMETERS angstrom
-5.4478 5.4893 -6.1906
-7.7451 4.4111 -4.3233
-6.1101 6.9725 -3.4909
```

---

Short version: two is the least stable of them.

---

--- one ---
Here is crystalline YHRh3 at its relaxed geometry from the Alexandria database. Energies are from PBE-GGA. Values from VASP.

Values from the calculation:
magnetization	0.001	μB per cell
calculated density	9.42	g/cm3
N(E_F)	9.0	states/eV per cell

The structure in Quantum ESPRESSO input format:
```
&SYSTEM
  ibrav = 0, nat = 10, ntyp = 3
/
ATOMIC_SPECIES
Y 88.91 Y.upf
Rh 102.91 Rh.upf
H 1.01 H.upf
ATOMIC_POSITIONS angstrom
Y -0.2581 1.9902 1.6431
Y 18.4785 1.9902 -7.7603
Rh 3.1925 1.9902 -1.6220
Rh 8.9827 1.9902 -1.5527
Rh 12.2518 1.9902 -4.6534
Rh 9.2378 1.9902 -4.5645
Rh 5.9686 1.9902 -1.4638
Rh 15.0280 1.9902 -4.4952
H 23.2201 1.9902 -9.1825
H -4.9997 1.9902 3.0653
CELL_PARAMETERS angstrom
18.2204 0.0000 -6.1172
7.7091 1.9902 -4.5252
-7.7091 1.9902 4.5252
```

---

--- two ---
Here is crystalline YHRh3 at its relaxed geometry from the Alexandria database. Energies are from PBE-GGA. Values from VASP.

Values from the calculation:
magnetization	0.000	μB per cell
calculated density	8.57	g/cm3
N(E_F)	18.2	states/eV per cell

The structure in Quantum ESPRESSO input format:
```
&SYSTEM
  ibrav = 0, nat = 20, ntyp = 3
/
ATOMIC_SPECIES
Y 88.91 Y.upf
H 1.01 H.upf
Rh 102.91 Rh.upf
ATOMIC_POSITIONS angstrom
Y 2.6182 5.1306 0.0000
Y 0.0000 0.0000 2.8745
Y 2.6182 0.0000 0.0000
Y 0.0000 5.1306 2.8745
H 4.0296 2.5653 2.4757
H 1.2068 7.6959 3.2734
H 3.8250 7.6959 5.3502
H 1.4114 2.5653 0.3989
Rh 0.0195 3.8794 0.4656
Rh 3.8143 7.6959 1.3992
Rh 2.6377 1.2512 2.4089
Rh 5.2168 6.3818 5.2835
Rh 0.0195 1.2512 0.4656
Rh 2.6377 3.8794 2.4089
Rh 5.2168 9.0100 5.2835
Rh 1.4220 2.5653 4.3499
Rh 1.1961 7.6959 1.4753
Rh 2.5986 9.0100 3.3401
Rh 4.0402 2.5653 4.2738
Rh 2.5986 6.3818 3.3401
CELL_PARAMETERS angstrom
5.2364 0.0000 0.0000
0.0000 10.2612 0.0000
0.0000 0.0000 5.7491
```

---

Short version: two is the least stable of them.